DFT (GGA-PBEsol) results for TaAl2Ir after structural relaxation.

Results
Volume = 14.834 A^3/atom

Cell lengths 2.9118, 2.9118, 6.9984 Å; angles 90.00, 90.00, 90.00 degrees
With the nearest neighbours (Å) after each atom.
Space group P4/mmm (No. 123)
One atom of each set of equivalent atoms:
1 Ta 0.0000 0.0000 0.0000 (multiplicity 1)  8 Al 2.84, 4 Ta 2.91
2 Al 0.5000 0.5000 0.2803 (multiplicity 2)  4 Ir 2.57, 4 Ta 2.84
3 Ir 0.0000 0.0000 0.5000 (multiplicity 1)  8 Al 2.57

***

DFT (GGA-PBEsol) results for TaAlIr2 after structural relaxation.

Results
Volume = 14.502 A^3/atom

Cell lengths 2.8837, 2.8837, 6.9758 Å; angles 90.00, 90.00, 90.00 degrees
With the nearest neighbours (Å) after each atom.
Space group P4/mmm (No. 123)
One atom of each set of equivalent atoms:
1 Ta 0.0000 0.0000 0.0000 (multiplicity 1)  8 Ir 2.78, 4 Ta 2.88
2 Al 0.0000 0.0000 0.5000 (multiplicity 1)  8 Ir 2.59, 4 Al 2.88
3 Ir 0.5000 0.5000 0.2712 (multiplicity 2)  4 Al 2.59, 4 Ta 2.78, 4 Ir 2.88

***

DFT (GGA-PBEsol) results for Ta2AlIr after structural relaxation.

Results
Volume = 15.985 A^3/atom

Cell lengths 3.4734, 4.1420, 8.8885 Å; angles 90.00, 90.00, 90.00 degrees
With the nearest neighbours (Å) after each atom.
Space group Imm2 (No. 44)
One atom of each set of equivalent atoms:
1 Ta 0.0000 0.0000 0.0000 (multiplicity 2)  4 Ir 2.70, 4 Ta 2.84-3.02, 4 Al 2.93-2.94
2 Ta 0.0000 0.5000 0.2473 (multiplicity 2)  4 Al 2.71, 2 Ir 2.78, 4 Ta 2.84-3.02
3 Al 0.0000 0.5000 0.7648 (multiplicity 2)  8 Ta 2.71-2.94, 2 Ir 2.74
4 Ir 0.0000 0.0000 0.5037 (multiplicity 2)  6 Ta 2.70-2.78, 2 Al 2.74

***

DFT (GGA-PBEsol) results for TaAlIr2 after structural relaxation.

Results
Volume = 14.773 A^3/atom

Cell lengths 2.8477, 3.6004, 5.7634 Å; angles 90.00, 90.00, 90.00 degrees
With the nearest neighbours (Å) after each atom.
Space group Pmmm (No. 47)
One atom of each set of equivalent atoms:
1 Ta 0.0000 0.0000 0.0000 (multiplicity 1)  8 Ir 2.73, 2 Ta 2.85, 2 Al 2.88
2 Al 0.0000 0.0000 0.5000 (multiplicity 1)  8 Ir 2.69, 2 Al 2.85, 2 Ta 2.88
3 Ir 0.5000 0.5000 0.2580 (multiplicity 2)  4 Al 2.69, 4 Ta 2.73, 4 Ir 2.79-2.97

***

DFT (GGA-PBEsol) results for TaAl2Ir after structural relaxation.

Results
Volume = 14.928 A^3/atom

Cell lengths 3.0381, 3.0381, 6.4693 Å; angles 90.00, 90.00, 90.00 degrees
With the nearest neighbours (Å) after each atom.
Space group P4mm (No. 99)
One atom of each set of equivalent atoms:
1 Ta 0.0000 0.0000 0.0000 (multiplicity 1)  4 Al 2.72, 4 Ir 2.83, 4 Ta 3.04
2 Al 0.0000 0.0000 0.5073 (multiplicity 1)  4 Ir 2.53, 4 Al 2.68
3 Al 0.5000 0.5000 0.2586 (multiplicity 1)  4 Al 2.68, 4 Ta 2.72, 1 Ir 2.95
4 Ir 0.5000 0.5000 0.7147 (multiplicity 1)  4 Al 2.53, 4 Ta 2.83

***

DFT (GGA-PBEsol) results for Tb2Al9Ir3 after structural relaxation.

Results
Volume = 16.411 A^3/atom

Cell lengths 12.9428, 7.5531, 9.4012 Å; angles 90.00, 90.00, 90.00 degrees
With the nearest neighbours (Å) after each atom.
Space group Cmcm (No. 63)
One atom of each set of equivalent atoms:
1 Tb 0.1615 0.1667 0.2500 (multiplicity 8)  11 Al 3.02-3.14
2 Al 0.0000 0.1288 0.7500 (multiplicity 4)  2 Ir 2.54, 6 Al 2.74-2.75
3 Al 0.0000 0.3329 0.0511 (multiplicity 8)  3 Ir 2.56-2.60, 5 Al 2.70-2.86
4 Al 0.1049 0.4449 0.7500 (multiplicity 8)  2 Ir 2.54, 4 Al 2.72-2.78
5 Al 0.1674 0.1681 0.5747 (multiplicity 16)  3 Ir 2.54-2.61, 3 Al 2.74-2.78
6 Ir 0.0000 0.0000 0.0000 (multiplicity 4)  8 Al 2.54-2.61
7 Ir 0.1719 0.5000 0.0000 (multiplicity 8)  8 Al 2.54-2.60

***

DFT (GGA-PBEsol) results for Al2TcIr after structural relaxation.

Results
Volume = 14.109 A^3/atom

Cell lengths 2.8045, 2.8045, 24.8563 Å; angles 90.00, 90.00, 120.00 degrees
With the nearest neighbours (Å) after each atom.
Space group R-3m (No. 166, hexagonal axes)
One atom of each set of equivalent atoms:
1 Al 0.0000 0.0000 0.2486 (multiplicity 6)  3 Ir 2.60, 3 Tc 2.66, 6 Al 2.80
2 Tc 0.0000 0.0000 0.0000 (multiplicity 3)  6 Al 2.66, 6 Tc 2.80
3 Ir 0.0000 0.0000 0.5000 (multiplicity 3)  6 Al 2.60, 6 Ir 2.80

***

DFT (GGA-PBEsol) results for Al2TcIr after structural relaxation.

Results
Volume = 14.073 A^3/atom

Cell lengths 8.2610, 2.7608, 5.0108 Å; angles 90.00, 99.87, 90.00 degrees
With the nearest neighbours (Å) after each atom.
Space group C2/m (No. 12)
One atom of each set of equivalent atoms:
1 Al 0.2471 0.0000 0.2446 (multiplicity 4)  3 Tc 2.59-2.64, 3 Ir 2.59-2.60, 4 Al 2.76-2.82
2 Tc 0.0000 0.0000 0.5000 (multiplicity 2)  6 Al 2.59-2.64, 2 Tc 2.76, 4 Ir 2.86
3 Ir 0.0000 0.5000 0.0000 (multiplicity 2)  6 Al 2.59-2.60, 2 Ir 2.76, 4 Tc 2.86

***

Number 1: DFT formation energy -0.593 eV/atom. Number 2: DFT formation energy -0.822 eV/atom. Number 3: DFT formation energy -0.326 eV/atom. Number 4: DFT formation energy -0.720 eV/atom. Number 5: DFT formation energy -0.478 eV/atom. Number 6: DFT formation energy -0.865 eV/atom. Number 7: DFT formation energy -0.356 eV/atom. Number 8: DFT formation energy -0.394 eV/atom.